No. 1
First-principles (PBE-GGA) data for a geometry-optimized LiPmTmOs structure, as listed in Alexandria.

Properties
V	21.2	Å³ per atom
density of states at the Fermi level	0.538	states/eV/atom
spin magnetization	0.00	μB/f.u.
total energy	-5.782	eV per atom
formation energy from the elements	-18	kJ per mole of atoms

Unit cell a=4.9279 b=4.9279 c=4.9279 alpha=60.00 beta=60.00 gamma=60.00
Last column: nearest neighbours and their distance in Å.
Element x y z (fractional)
1 Tm 0.2500 0.2500 0.2500  4 Os 3.02, 4 Li 3.02
2 Li 0.0000 0.0000 0.0000  4 Tm 3.02, 4 Pm 3.02
3 Pm 0.7500 0.7500 0.7500  4 Os 3.02, 4 Li 3.02
4 Os 0.5000 0.5000 0.5000  4 Pm 3.02, 4 Tm 3.02



No. 2
First-principles (PBE-GGA) data for a geometry-optimized LiPmYOs structure, as listed in Alexandria.

Properties
V	21.7	Å³ per atom
density of states at the Fermi level	0.607	states/eV/atom
spin magnetization	0.00	μB/f.u.
total energy	-6.247	eV per atom
formation energy from the elements	-15	kJ per mole of atoms

Unit cell a=4.9683 b=4.9683 c=4.9683 alpha=60.00 beta=60.00 gamma=60.00
Last column: nearest neighbours and their distance in Å.
Element x y z (fractional)
1 Li 0.7500 0.7500 0.7500  4 Pm 3.04, 4 Y 3.04
2 Os 0.2500 0.2500 0.2500  4 Pm 3.04, 4 Y 3.04
3 Y 0.0000 0.0000 0.0000  4 Li 3.04, 4 Os 3.04
4 Pm 0.5000 0.5000 0.5000  4 Li 3.04, 4 Os 3.04



No. 3
First-principles (PBE-GGA) data for a geometry-optimized LiPmZrOs structure, as listed in Alexandria.

Properties
V	20.1	Å³ per atom
density of states at the Fermi level	0.958	states/eV/atom
spin magnetization	0.00	μB/f.u.
total energy	-6.737	eV per atom
formation energy from the elements	-12	kJ per mole of atoms

Unit cell a=4.8439 b=4.8439 c=4.8439 alpha=60.00 beta=60.00 gamma=60.00
Last column: nearest neighbours and their distance in Å.
Element x y z (fractional)
1 Pm 0.7500 0.7500 0.7500  4 Li 2.97, 4 Os 2.97
2 Zr 0.2500 0.2500 0.2500  4 Li 2.97, 4 Os 2.97
3 Os 0.5000 0.5000 0.5000  4 Pm 2.97, 4 Zr 2.97
4 Li 0.0000 0.0000 0.0000  4 Zr 2.97, 4 Pm 2.97



No. 4
First-principles (PBE-GGA) data for a geometry-optimized LiPr3Os structure, as listed in Alexandria.

Properties
V	36.1	Å³ per atom
density of states at the Fermi level	0.812	states/eV/atom
spin magnetization	0.00	μB/f.u.
total energy	-5.358	eV per atom
formation energy from the elements	13	kJ per mole of atoms

Unit cell a=5.6522 b=5.6522 c=5.6522 alpha=90.00 beta=90.00 gamma=90.00
Last column: nearest neighbours and their distance in Å.
Element x y z (fractional)
1 Pr 0.5000 0.0000 0.0000  2 Os 2.83
2 Pr 0.0000 0.0000 0.5000  2 Os 2.83
3 Pr 0.0000 0.5000 0.0000  2 Os 2.83
4 Os 0.0000 0.0000 0.0000  6 Pr 2.83
5 Li 0.5000 0.5000 0.5000  12 Pr 4.00